Entry 1:
A relaxed MnNb2Ga crystal, computed with PBE.

Unit cell a=4.2122 b=3.9057 c=3.9057 alpha=90.00 beta=90.00 gamma=90.00
Sites, in units of the cell vectors:
Nb  0.0000  0.0000  0.5000
Nb  0.0000  0.5000  0.0000
Mn  0.5000  0.5000  0.5000
Ga  0.5000  0.0000  0.0000

Formation energy, eV/atom: -0.111
Space-group type: P4/mmm, No. 123
Calculated density, g cm⁻³: 8.0
Total magnetization, μB per cell: 2.13

---

Entry 2:
A relaxed YFe2Pt crystal, computed with PBE.

Unit cell a=4.2292 b=4.2292 c=5.4089 alpha=66.93 beta=66.93 gamma=60.00
Sites, in units of the cell vectors:
Fe  0.0506  0.0506  0.8480
Fe  0.7520  0.7520  0.7438
Pt  0.4489  0.4489  0.6534
Y  0.2484  0.2484  0.2548

Formation energy, eV/atom: -0.249
Space-group type: R3m, No. 160
Calculated density, g cm⁻³: 8.8
Total magnetization, μB per cell: 4.81

---

Entry 3:
A relaxed La2Fe2Rh crystal, computed with PBE.

Unit cell a=6.8890 b=6.8890 c=4.2903 alpha=90.00 beta=90.00 gamma=90.00
Sites, in units of the cell vectors:
Rh  0.0000  0.0000  0.0000
Rh  0.5000  0.5000  0.0000
Fe  0.3846  0.8846  0.0000
Fe  0.8846  0.6154  0.0000
Fe  0.6154  0.1154  0.0000
Fe  0.1154  0.3846  0.0000
La  0.1878  0.6878  0.5000
La  0.6878  0.8122  0.5000
La  0.8122  0.3122  0.5000
La  0.3122  0.1878  0.5000

Formation energy, eV/atom: -0.006
Space-group type: P4/mbm, No. 127
Calculated density, g cm⁻³: 8.0
Total magnetization, μB per cell: 7.00

---

Entry 4:
A relaxed TeRuBr2 crystal, computed with PBE.

Unit cell a=3.5146 b=3.5146 c=11.4363 alpha=90.00 beta=90.00 gamma=125.08
Sites, in units of the cell vectors:
Ru  0.5000  0.5000  0.2500
Te  0.5000  0.5000  0.7500
Br  0.0000  0.0000  0.0844
Br  0.0000  0.0000  0.4156

Space-group type: Cmmm, No. 65
Energy relative to the elements, uncorrected, kJ/mol of formula units: 147
Calculated density, g cm⁻³: 5.6
Total magnetization, μB per cell: 1.74

---

Entry 5:
A relaxed TcGeNO2 crystal, computed with PBE.

Unit cell a=3.6776 b=3.9895 c=3.6776 alpha=90.00 beta=90.00 gamma=90.00
Sites, in units of the cell vectors:
Ge  0.0000  0.0000  0.0000
Tc  0.5000  0.5000  0.5000
O  0.0000  0.0000  0.5000
O  0.5000  0.0000  0.0000
N  0.0000  0.5000  0.0000

Space-group type: P4/mmm, No. 123
Energy relative to the elements, uncorrected, kJ/mol of formula units: 57
Calculated density, g cm⁻³: 6.7
Total magnetization, μB per cell: 3.99

---

Entry 6:
A relaxed ZnIn2Os2 crystal, computed with PBE.

Unit cell a=8.2982 b=8.2982 c=2.8238 alpha=90.00 beta=90.00 gamma=90.00
Sites, in units of the cell vectors:
Zn  0.0000  0.0000  0.0000
Zn  0.5000  0.5000  0.0000
Os  0.1059  0.6059  0.5000
Os  0.6059  0.8941  0.5000
Os  0.8941  0.3941  0.5000
Os  0.3941  0.1059  0.5000
In  0.3146  0.8146  0.0000
In  0.8146  0.6854  0.0000
In  0.6854  0.1854  0.0000
In  0.1854  0.3146  0.0000

Formation energy, eV/atom: 0.731
Space-group type: P4/mbm, No. 127
Calculated density, g cm⁻³: 11.5
Total magnetization, μB per cell: 1.91

---

| no. | E (eV for the cell shown) |
| --- | --- |
| 1 | -32.78 |
| 2 | -30.43 |
| 3 | -68.32 |
| 4 | -14.24 |
| 5 | -32.63 |
| 6 | -51.11 |